# TePPd2

A PBEsol-optimized structure of TePPd2 (meta-GGA SCAN, the Alexandria database).

abc: 4.6415 4.6415 14.6271
angles: 90.00 90.00 90.00
Last column: nearest neighbours and their distance in Å.
Fractional coordinates of all 16 atoms:
Te1 0.0000 0.0000 0.0000  4 Pd 2.66
Te2 0.0000 0.5000 0.2500  4 Pd 2.66
Te3 0.5000 0.0000 0.7500  4 Pd 2.66
Te4 0.5000 0.5000 0.5000  4 Pd 2.66
P1 0.0000 0.0000 0.5000  4 Pd 2.30
P2 0.0000 0.5000 0.7500  4 Pd 2.30
P3 0.5000 0.0000 0.2500  4 Pd 2.30
P4 0.5000 0.5000 0.0000  4 Pd 2.30
Pd1 0.1656 0.2500 0.6250  2 P 2.30
Pd2 0.2500 0.6656 0.8750  2 P 2.30
Pd3 0.2500 0.8344 0.3750  2 P 2.30
Pd4 0.3344 0.2500 0.1250  2 P 2.30
Pd5 0.6656 0.7500 0.1250  2 P 2.30
Pd6 0.7500 0.1656 0.3750  2 P 2.30
Pd7 0.7500 0.3344 0.8750  2 P 2.30
Pd8 0.8344 0.7500 0.6250  2 P 2.30

## Properties
total DFT energy (no corrections)	-28.579	eV per atom
E_form (uncorrected)	-1.12	eV/f.u.
volume	19.7	Å³ per atom